A relaxed structure of Rb2NbReSi. Source: Alexandria, functional PBE.

```
data_Rb2NbReSi
_chemical_formula_sum 'Rb2 Nb1 Re1 Si1'
_symmetry_space_group_name_H-M 'P 1'
_symmetry_Int_Tables_number 1
_symmetry_space_group_name_Hall 'P 1'
_cell_length_a 6.533
_cell_length_b 6.533
_cell_length_c 4.588
_cell_angle_alpha 90.00
_cell_angle_beta 90.00
_cell_angle_gamma 90.00
loop_
_atom_site_label
_atom_site_type_symbol
_atom_site_fract_x
_atom_site_fract_y
_atom_site_fract_z
Rb1 Rb 0.000 0.500 0.000
Rb2 Rb 0.500 0.000 0.000
Nb1 Nb 0.000 0.000 0.500
Re1 Re 0.500 0.500 0.500
Si1 Si 0.500 0.500 0.000
```

## Properties
VASP energy: -0.289 Ry per atom
Raw formation energy: 2048 meV per atom
Calculated volume: 39.2 Å³/atom
Density of states at the Fermi level: 8.35 states/eV/f.u.
Crystal system: tetragonal
Mass density: 4.1 g cm⁻³
Symmetry: No. 123